Record 1
Tb5Pm6Ho: optimized geometry, PBE-GGA.

Summary:
* energy relative to the elements: 0.012 eV/atom
* magnetic moment: 0.0 μB per formula unit
* theoretical density: 7.7 g/cm3
* density of states at the Fermi level: 1.208 states/eV/atom
* distance to the lowest polymorph of the same formula: 0.0 meV per atom

abc: 6.249 10.822 11.884
angles: 90.00 100.07 90.00
Space group C2/m (No. 12)
Unique sites:
Tb: 0.000 0.000 0.000 x2
Tb: 0.000 0.167 0.500 x4
Tb: 0.000 0.333 0.000 x4
Pm: 0.250 0.000 0.750 x4
Pm: 0.250 0.167 0.250 x8
Ho: 0.000 0.500 0.500 x2

=====

Record 2
Cr2CuHAu: optimized geometry, PBE-GGA.

Summary:
* magnetic moment: 0.0 μB per formula unit
* theoretical density: 11.0 g/cm3
* density of states at the Fermi level: 1.038 states/eV/atom
* total energy: -5.735 eV per atom

abc: 3.636 3.636 4.189
angles: 90.00 90.00 90.00
Space group P4/mmm (No. 123)
Unique sites:
Cr: 0.000 0.500 0.000 x2
Cu: 0.000 0.000 0.500 x1
H: 0.000 0.000 0.000 x1
Au: 0.500 0.500 0.500 x1

=====

> Which formula does entry 2 have?

Cr2CuHAu

=====

> Look up the magnetic moment of the first one.

0.0 μB per formula unit

=====

What did the first record say?
Tb5Pm6Ho: optimized geometry, PBE-GGA.

Summary:
* energy relative to the elements: 0.012 eV/atom
* magnetic moment: 0.0 μB per formula unit
* theoretical density: 7.7 g/cm3
* density of states at the Fermi level: 1.208 states/eV/atom
* distance to the lowest polymorph of the same formula: 0.0 meV per atom

abc: 6.249 10.822 11.884
angles: 90.00 100.07 90.00
Space group C2/m (No. 12)
Unique sites:
Tb: 0.000 0.000 0.000 x2
Tb: 0.000 0.167 0.500 x4
Tb: 0.000 0.333 0.000 x4
Pm: 0.250 0.000 0.750 x4
Pm: 0.250 0.167 0.250 x8
Ho: 0.000 0.500 0.500 x2